No. 1
Entry from Alexandria: a relaxed structure of Sr2PmAl12Ir3 (GGA-PBE).

Unit cell a=8.386 b=8.386 c=8.386 alpha=63.55 beta=63.55 gamma=63.55
Fractional coordinates of all 18 atoms:
Sr: 0.088 0.088 0.088
Sr: 0.912 0.912 0.912
Pm: 0.500 0.500 0.500
Al: 0.029 0.662 0.662
Al: 0.210 0.210 0.615
Al: 0.210 0.615 0.210
Al: 0.338 0.338 0.971
Al: 0.338 0.971 0.338
Al: 0.385 0.790 0.790
Al: 0.615 0.210 0.210
Al: 0.662 0.029 0.662
Al: 0.662 0.662 0.029
Al: 0.790 0.385 0.790
Al: 0.790 0.790 0.385
Al: 0.971 0.338 0.338
Ir: 0.000 0.500 0.500
Ir: 0.500 0.000 0.500
Ir: 0.500 0.500 0.000

Values from the calculation:
The density of states at the Fermi level comes out at 7.6 states/eV per cell. As for the formation energy: -59 meV per atom. The value obtained for the total energy is -80.66 eV for the cell shown.

=====

No. 2
Entry from Alexandria: a relaxed structure of Zr2AlSe (GGA-PBE).

Unit cell a=4.986 b=4.986 c=4.986 alpha=125.79 beta=125.79 gamma=80.23
Fractional coordinates of all 4 atoms:
Zr: 0.250 0.750 0.500
Zr: 0.750 0.250 0.500
Al: 0.000 0.000 0.000
Se: 0.500 0.500 0.000

Values from the calculation:
The density of states at the Fermi level comes out at 3.0 states/eV per cell. The value obtained for the uncorrected formation energy is -0.415 eV per atom. The value obtained for the total energy is -25.98 eV for the cell shown. The value obtained for the offset from the most stable computed form is 0.277 eV per atom.

=====

No. 3
Entry from Alexandria: a relaxed structure of Nd3Si4Pd2 (GGA-PBE).

Unit cell a=5.976 b=5.976 c=8.410 alpha=100.31 beta=100.31 gamma=40.55
Fractional coordinates of all 9 atoms:
Nd: 0.000 0.000 0.000
Nd: 0.335 0.335 0.333
Nd: 0.665 0.665 0.667
Si: 0.052 0.052 0.389
Si: 0.277 0.277 0.940
Si: 0.723 0.723 0.060
Si: 0.948 0.948 0.611
Pd: 0.390 0.390 0.723
Pd: 0.610 0.610 0.277

Values from the calculation:
The density of states at the Fermi level comes out at 4.8 states/eV per cell. The value obtained for the uncorrected formation energy is -0.889 eV per atom. The value obtained for the total energy is -54.38 eV for the cell shown.